No. 1
NiBI2 PBE-GGA optimized geometry; ΔE to the lowest computed polymorph = 484.1 meV/atom; space group = No. 225; M_tot = 0.91 μB/cell; density of states at the Fermi level = 1.47 states/eV per atom
1.0
0.0000 3.5009 3.5009
3.5009 0.0000 3.5009
3.5009 3.5009 0.0000
Ni B I
1 1 2
direct
0.0000 0.0000 0.0000
0.5000 0.5000 0.5000
0.2500 0.2500 0.2500
0.7500 0.7500 0.7500

=====

No. 2
CaP3F PBE-GGA optimized geometry; ΔE to the lowest computed polymorph = 1109.3 meV/atom; space group = No. 221; M_tot = 0.21 μB/cell; density of states at the Fermi level = 1.17 states/eV per atom
1.0
5.2349 0.0000 0.0000
0.0000 5.2349 0.0000
0.0000 0.0000 5.2349
Ca P F
1 3 1
direct
0.0000 0.0000 0.0000
0.0000 0.0000 0.5000
0.0000 0.5000 0.0000
0.5000 0.0000 0.0000
0.5000 0.5000 0.5000

=====

No. 3
LaGaCl3 PBE-GGA optimized geometry; space group = No. 221; M_tot = 0.99 μB/cell; density of states at the Fermi level = 0.78 states/eV per atom
1.0
5.6114 0.0000 0.0000
0.0000 5.6114 0.0000
0.0000 0.0000 5.6114
La Ga Cl
1 1 3
direct
0.0000 0.0000 0.0000
0.5000 0.5000 0.5000
0.0000 0.0000 0.5000
0.0000 0.5000 0.0000
0.5000 0.0000 0.0000

=====

No. 4
Pm2MgSiPt6 PBE-GGA optimized geometry; space group = No. 59; M_tot = 0.00 μB/cell; density of states at the Fermi level = 0.39 states/eV per atom
1.0
5.5816 0.0000 0.0000
0.0000 8.7058 0.0000
0.0000 0.0000 8.3442
Pm Mg Si Pt
4 2 2 12
direct
0.2500 0.0046 0.2307
0.2500 0.4954 0.2307
0.7500 0.5046 0.7693
0.7500 0.9954 0.7693
0.2500 0.7500 0.7844
0.7500 0.2500 0.2156
0.2500 0.2500 0.7305
0.7500 0.7500 0.2695
0.0008 0.7500 0.0424
0.0029 0.7500 0.5103
0.2500 0.0010 0.6046
0.2500 0.4990 0.6046
0.4971 0.7500 0.5103
0.4992 0.7500 0.0424
0.5008 0.2500 0.9576
0.5029 0.2500 0.4897
0.7500 0.5010 0.3954
0.7500 0.9990 0.3954
0.9971 0.2500 0.4897
0.9992 0.2500 0.9576

=====

No. 5
FePd2Rh5 PBE-GGA optimized geometry; energy of formation from the pure elements = 0.005 eV/atom; space group = No. 139; M_tot = 4.12 μB/cell; density of states at the Fermi level = 1.58 states/eV per atom
1.0
-1.9221 1.9221 7.7198
1.9221 -1.9221 7.7198
1.9221 1.9221 -7.7198
Fe Pd Rh
1 2 5
direct
0.0000 0.0000 0.0000
0.2510 0.2510 0.0000
0.7490 0.7490 0.0000
0.1194 0.6194 0.5000
0.3806 0.8806 0.5000
0.5000 0.5000 0.0000
0.6194 0.1194 0.5000
0.8806 0.3806 0.5000

=====

No. 6
MgAl2W PBE-GGA optimized geometry; energy of formation from the pure elements = 0.089 eV/atom; space group = No. 8; M_tot = 0.00 μB/cell; density of states at the Fermi level = 0.36 states/eV per atom
1.0
4.8968 -1.3871 0.0000
4.8968 1.3871 0.0000
-0.5838 0.0000 4.8775
Mg Al W
1 2 1
direct
0.0000 0.0000 0.0000
0.5100 0.5100 0.5160
0.7592 0.7592 0.2417
0.2494 0.2494 0.7354

=====

No. 7
Mg3TlBr PBE-GGA optimized geometry; ΔE to the lowest computed polymorph = 344.8 meV/atom; space group = No. 221; M_tot = 0.00 μB/cell; density of states at the Fermi level = 0.59 states/eV per atom
1.0
5.3709 0.0000 0.0000
0.0000 5.3709 0.0000
0.0000 0.0000 5.3709
Mg Tl Br
3 1 1
direct
0.0000 0.0000 0.5000
0.0000 0.5000 0.0000
0.5000 0.0000 0.0000
0.5000 0.5000 0.5000
0.0000 0.0000 0.0000

=====

No. 8
InGeTeP2 PBE-GGA optimized geometry; space group = No. 123; M_tot = 0.00 μB/cell; density of states at the Fermi level = 1.06 states/eV per atom
1.0
5.0022 0.0000 0.0000
0.0000 5.0022 0.0000
0.0000 0.0000 5.3458
In Ge Te P
1 1 1 2
direct
0.0000 0.0000 0.0000
0.0000 0.0000 0.5000
0.5000 0.5000 0.5000
0.0000 0.5000 0.0000
0.5000 0.0000 0.0000

=====

No. 9
NbAg3Te PBE-GGA optimized geometry; ΔE to the lowest computed polymorph = 0.0 meV/atom; space group = No. 221; M_tot = 4.31 μB/cell; density of states at the Fermi level = 1.50 states/eV per atom
1.0
5.2390 0.0000 0.0000
0.0000 5.2390 0.0000
0.0000 0.0000 5.2390
Nb Ag Te
1 3 1
direct
0.0000 0.0000 0.0000
0.0000 0.5000 0.5000
0.5000 0.0000 0.5000
0.5000 0.5000 0.0000
0.5000 0.5000 0.5000

=====

No. 10
SiOsW2 PBE-GGA optimized geometry; space group = No. 71; M_tot = 0.00 μB/cell; density of states at the Fermi level = 0.66 states/eV per atom
1.0
-1.5528 2.1489 4.3843
1.5528 -2.1489 4.3843
1.5528 2.1489 -4.3843
Si Os W
1 1 2
direct
0.0000 0.0000 0.0000
0.5000 0.5000 0.0000
0.2412 0.7412 0.5000
0.7588 0.2588 0.5000

=====

No. 11
AcYTlAu PBE-GGA optimized geometry; energy of formation from the pure elements = -0.508 eV/atom; space group = No. 216; M_tot = 0.00 μB/cell; density of states at the Fermi level = 0.81 states/eV per atom
1.0
0.0000 3.8866 3.8866
3.8866 0.0000 3.8866
3.8866 3.8866 0.0000
Ac Y Tl Au
1 1 1 1
direct
0.0000 0.0000 0.0000
0.5000 0.5000 0.5000
0.2500 0.2500 0.2500
0.7500 0.7500 0.7500

=====

No. 12
InTe2RuN PBE-GGA optimized geometry; ΔE to the lowest computed polymorph = 1312.8 meV/atom; space group = No. 123; M_tot = 3.76 μB/cell; density of states at the Fermi level = 1.10 states/eV per atom
1.0
5.7321 0.0000 0.0000
0.0000 5.7321 0.0000
0.0000 0.0000 3.9407
In Te Ru N
1 2 1 1
direct
0.0000 0.0000 0.0000
0.0000 0.5000 0.0000
0.5000 0.0000 0.0000
0.5000 0.5000 0.5000
0.0000 0.0000 0.5000

=====

How do the records compare in DFT total energy? In the order shown, they have -2.480 -2.936 -4.127 -6.183 -6.946 -5.419 -1.515 -3.239 -3.108 -10.682 -4.562 -3.831 eV per atom.